No. 1
MgSi2Te GGA-PBE relaxed; distance to the lowest polymorph of the same formula = 0.2347 eV per atom; E_form (uncorrected) = 0.33 eV/atom; total DFT energy (no corrections) = -0.1312 hartree per atom; volume = 89.0 Å³ per cell
1.0
1.876 1.083 7.297
-1.876 1.083 7.297
0.000 -2.166 7.297
Mg Si Te
1 2 1
Direct
0.000 0.000 0.000
0.247 0.247 0.247
0.753 0.753 0.753
0.500 0.500 0.500

---

No. 2
MgSi2Te GGA-PBE relaxed; distance to the lowest polymorph of the same formula = 0.2911 eV per atom; E_form (uncorrected) = 0.38 eV/atom; total DFT energy (no corrections) = -0.1291 hartree per atom; volume = 81.8 Å³ per cell
1.0
-2.272 2.272 3.959
2.272 -2.272 3.959
2.272 2.272 -3.959
Mg Si Te
1 2 1
Direct
0.000 0.000 0.000
0.250 0.750 0.500
0.500 0.500 0.000
0.750 0.250 0.500

---

No. 3
Mg2SiTe GGA-PBE relaxed; distance to the lowest polymorph of the same formula = 0.0682 eV per atom; E_form (uncorrected) = -0.07 eV/atom; total DFT energy (no corrections) = -0.1105 hartree per atom; volume = 95.0 Å³ per cell
1.0
4.023 0.000 0.000
0.000 4.023 0.000
0.000 0.000 5.870
Mg Si Te
2 1 1
Direct
0.000 0.000 0.000
0.500 0.500 0.413
0.000 0.000 0.485
0.500 0.500 0.917